A relaxed structure of BaLiTc2, computed with GGA-PBE.

abc: 5.9290 5.9290 5.9290
angles: 142.01 142.01 54.81
With the nearest neighbours (Å) after each atom.
Fractional positions:
Ba (0.2500, 0.7500, 0.5000)  4 Li 2.73
Li (0.7500, 0.2500, 0.5000)  4 Ba 2.73
Tc (0.0000, 0.0000, 0.0000)  4 Tc 2.73
Tc (0.5000, 0.5000, 0.0000)  4 Tc 2.73

Computed properties:
**Crystal system**: tetragonal
**Calculated density**: 7.21 g/cm³
**Formation energy from the elements**: 0.97 eV/atom
**SG**: I4/mmm, No. 139
**Total magnetization**: 0.00 μB/f.u.



A relaxed structure of PuNpSc2P4, computed with GGA-PBE.

abc: 3.8780 6.7306 6.6393
angles: 109.68 90.00 90.00
With the nearest neighbours (Å) after each atom.
Fractional positions:
Pu (0.0000, 0.0000, 0.0000)  6 P 2.77-2.78
Np (0.5000, 0.5000, 0.0000)  6 P 2.76
Sc (0.5000, 0.0000, 0.5000)  6 P 2.70-2.71
Sc (0.0000, 0.5000, 0.5000)  6 P 2.69
P (0.5000, 0.2552, 0.2596)  3 Sc 2.69-2.71, 1 Np 2.76, 2 Pu 2.77
P (0.5000, 0.7448, 0.7404)  3 Sc 2.69-2.71, 1 Np 2.76, 2 Pu 2.77
P (0.0000, 0.2482, 0.7399)  3 Sc 2.69-2.70, 2 Np 2.76, 1 Pu 2.78
P (0.0000, 0.7518, 0.2601)  3 Sc 2.69-2.70, 2 Np 2.76, 1 Pu 2.78

Computed properties:
**Crystal system**: monoclinic
**Calculated density**: 7.07 g/cm³
**Formation energy from the elements**: -1.25 eV/atom
**SG**: P2/m, No. 10
**Total magnetization**: 8.53 μB/f.u.